Entry 1:
A relaxed K2CuHg crystal, computed with GGA-PBE.

Its spin magnetization is 0.00 Bohr magnetons per cell. The value obtained for the formation energy is 19.8 meV per atom.

abc: 5.0693 4.6949 6.6413
angles: 90.00 112.43 90.00
Closest atoms and distances in Å follow each position.
Sites, in units of the cell vectors:
K 0.0000 0.0000 0.0000  3 Cu 3.50-3.72, 4 Hg 3.64
K 0.2926 0.5000 0.5845  3 Hg 3.52-3.69, 4 Cu 3.64-3.65
Cu 0.6981 0.0000 0.3943  2 Hg 2.67
Hg 0.5926 0.5000 0.1861  2 Cu 2.67

Entry 2:
A relaxed Ga4HgTe crystal, computed with GGA-PBE.

The raw total energy comes out at -15.02 eV per formula unit. Its spin magnetization is 0.00 Bohr magnetons per cell.

abc: 5.8046 5.8046 5.8046
angles: 60.00 60.00 60.00
Closest atoms and distances in Å follow each position.
Sites, in units of the cell vectors:
Ga 0.1248 0.1248 0.1248  6 Ga 2.90-2.91
Ga 0.1248 0.1248 0.6255  6 Ga 2.90-2.91
Ga 0.1248 0.6255 0.1248  6 Ga 2.90-2.91
Ga 0.6255 0.1248 0.1248  6 Ga 2.90-2.91
Hg 0.5000 0.5000 0.5000  12 Ga 3.40, 4 Te 3.55
Te 0.7500 0.7500 0.7500  12 Ga 3.40, 4 Hg 3.55

Entry 3:
A relaxed BiRu3C crystal, computed with GGA-PBE.

Its spin magnetization is 3.54 Bohr magnetons per cell. The value obtained for the formation energy is 3372.6 meV per atom.

abc: 5.0263 5.0263 5.0263
angles: 90.00 90.00 90.00
Closest atoms and distances in Å follow each position.
Sites, in units of the cell vectors:
Bi 0.0000 0.0000 0.0000  6 Ru 2.51
Ru 0.0000 0.0000 0.5000  2 Bi 2.51
Ru 0.0000 0.5000 0.0000  2 Bi 2.51
Ru 0.5000 0.0000 0.0000  2 Bi 2.51
C 0.5000 0.5000 0.5000  12 Ru 3.55